Compound: PmCu2Rh
Source: Alexandria
Functional: PBE
Structure: optimized geometry

**Energy of formation from the pure elements**: -0.2456 eV per atom
**E above lowest polymorph**: 0.000 eV/f.u.
**Symmetry**: R-3m, No. 166

Lattice parameters (Å, degrees): 4.310 4.310 5.204 65.54 65.54 60.00
Atoms (fractional coordinates):
Cu 0.795 0.795 0.614
Cu 0.205 0.205 0.386
Pm 0.000 0.000 0.000
Rh 0.500 0.500 0.500


Compound: Si2AsPt
Source: Alexandria
Functional: PBE
Structure: optimized geometry

**Formation energy without anion corrections**: 0.16 eV/atom
**Symmetry**: P4mm, No. 99

Lattice parameters (Å, degrees): 2.982 2.982 7.209 90.00 90.00 90.06
Atoms (fractional coordinates):
Si 0.500 0.500 0.217
Si 0.000 0.000 0.990
As 0.000 0.000 0.510
Pt 0.500 0.500 0.783


Compound: SmRhPb2O6
Source: Alexandria
Functional: PBE
Structure: optimized geometry

**Formation energy without anion corrections**: -1.49 eV/atom
**Symmetry**: P2_1/c, No. 14

Lattice parameters (Å, degrees): 5.844 5.927 8.321 90.00 89.88 90.00
Atoms (fractional coordinates):
Pb 0.492 0.459 0.253
Pb 0.008 0.959 0.247
Pb 0.992 0.041 0.753
Pb 0.508 0.541 0.747
O 0.276 0.685 0.054
O 0.898 0.532 0.230
O 0.776 0.815 0.554
O 0.102 0.468 0.770
O 0.724 0.315 0.946
O 0.174 0.215 0.048
O 0.224 0.185 0.446
O 0.826 0.785 0.952
O 0.602 0.032 0.270
O 0.398 0.968 0.730
O 0.326 0.715 0.452
O 0.674 0.285 0.548
Rh 0.500 0.000 0.500
Rh 0.000 0.500 0.000
Sm 0.500 0.000 0.000
Sm 0.000 0.500 0.500


Compound: Eu2B2O5
Source: Alexandria
Functional: PBE
Structure: optimized geometry

**Formation energy without anion corrections**: -2.76 eV/atom
**Symmetry**: P2_1/c, No. 14

Lattice parameters (Å, degrees): 5.362 7.746 12.002 87.61 90.00 90.00
Site moments in Bohr magnetons follow the coordinates.
Atoms (fractional coordinates):
Eu 0.546 0.615 0.134  6.84
Eu 0.454 0.385 0.866  6.84
Eu 0.046 0.385 0.366  6.84
Eu 0.414 0.878 0.838  6.86
Eu 0.954 0.615 0.634  6.84
Eu 0.086 0.878 0.338  6.86
Eu 0.586 0.122 0.162  6.86
Eu 0.914 0.122 0.662  6.86
O 0.895 0.243 0.007  0.00
O 0.105 0.757 0.993  0.00
O 0.300 0.353 0.069  -0.02
O 0.800 0.647 0.431  -0.02
O 0.714 0.110 0.854  -0.02
O 0.605 0.243 0.507  0.00
O 0.591 0.403 0.668  -0.02
O 0.844 0.856 0.147  -0.02
O 0.091 0.597 0.832  -0.02
O 0.200 0.353 0.569  -0.02
O 0.214 0.890 0.646  -0.02
O 0.156 0.144 0.853  -0.02
O 0.909 0.403 0.168  -0.02
O 0.344 0.144 0.353  -0.02
O 0.700 0.647 0.931  -0.02
O 0.286 0.890 0.146  -0.02
O 0.786 0.110 0.354  -0.02
O 0.656 0.856 0.647  -0.02
O 0.409 0.597 0.332  -0.02
O 0.395 0.757 0.493  0.00
B 0.548 0.662 0.417  0.01
B 0.569 0.161 0.404  0.01
B 0.048 0.338 0.083  0.01
B 0.452 0.338 0.583  0.01
B 0.431 0.839 0.596  0.01
B 0.952 0.662 0.917  0.01
B 0.931 0.161 0.904  0.01
B 0.069 0.839 0.096  0.01


Compound: GdScSnHg
Source: Alexandria
Functional: PBE
Structure: optimized geometry

**Energy of formation from the pure elements**: -0.5292 eV per atom
**Symmetry**: F-43m, No. 216

Lattice parameters (Å, degrees): 5.187 5.187 5.187 60.00 60.00 60.00
Site moments in Bohr magnetons follow the coordinates.
Atoms (fractional coordinates):
Sn 0.250 0.250 0.250  -0.04
Hg 0.750 0.750 0.750  -0.01
Gd 0.500 0.500 0.500  7.09
Sc 0.000 0.000 0.000  0.22


Compound: TePt
Source: Alexandria
Functional: PBE
Structure: optimized geometry

**Formation energy without anion corrections**: -0.20 eV/atom
**Symmetry**: P-3m1, No. 164

Lattice parameters (Å, degrees): 4.016 4.016 7.587 90.00 90.00 120.00
Atoms (fractional coordinates):
Pt 0.667 0.333 0.235
Pt 0.000 0.000 0.015
Te 0.000 0.000 0.397
Te 0.667 0.333 0.853


Compound: Ba2CS
Source: Alexandria
Functional: PBE
Structure: optimized geometry

**Formation energy without anion corrections**: -0.15 eV/atom
**Symmetry**: I-42d, No. 122

Lattice parameters (Å, degrees): 7.696 7.696 7.091 57.14 57.14 90.00
Site moments in Bohr magnetons follow the coordinates.
Atoms (fractional coordinates):
S 0.750 0.250 0.500  0.04
S 0.000 0.000 0.000  0.04
C 0.500 0.500 0.000  0.80
C 0.250 0.750 0.500  0.80
Ba 0.375 0.401 0.750  0.07
Ba 0.599 0.125 0.250  0.07
Ba 0.875 0.849 0.750  0.07
Ba 0.151 0.625 0.250  0.07


Compound: Sr7Tl2Cd2
Source: Alexandria
Functional: PBE
Structure: optimized geometry

**Energy of formation from the pure elements**: -0.1252 eV per atom
**Symmetry**: Cmmm, No. 65

Lattice parameters (Å, degrees): 7.698 8.583 7.698 89.99 111.39 90.01
Atoms (fractional coordinates):
Tl 0.173 0.500 0.173
Tl 0.827 0.500 0.827
Sr 0.000 0.719 0.500
Sr 0.500 0.257 0.500
Sr 0.000 0.281 0.500
Sr 0.500 0.743 0.500
Sr 0.500 0.281 0.000
Sr 0.500 0.719 0.000
Sr 0.000 0.000 0.000
Cd 0.707 0.000 0.293
Cd 0.293 0.000 0.707


Compound: KBeGa2C
Source: Alexandria
Functional: PBE
Structure: optimized geometry

**Energy of formation from the pure elements**: 1.3176 eV per atom
**Symmetry**: P4/mmm, No. 123

Lattice parameters (Å, degrees): 4.300 6.469 4.300 90.00 90.00 90.00
Site moments in Bohr magnetons follow the coordinates.
Atoms (fractional coordinates):
K 0.000 0.500 0.000  0.04
Ga 0.000 0.000 0.500  -0.01
Ga 0.500 0.000 0.000  0.01
C 0.500 0.500 0.500  1.08
Be 0.000 0.000 0.000  -0.01


Compound: La2GeBi
Source: Alexandria
Functional: PBE
Structure: optimized geometry

**Energy of formation from the pure elements**: -0.6194 eV per atom
**E above lowest polymorph**: 1.004 eV/f.u.
**Symmetry**: I-42d, No. 122

Lattice parameters (Å, degrees): 8.189 8.189 7.111 54.84 54.84 90.00
Atoms (fractional coordinates):
La 0.149 0.625 0.250
La 0.601 0.125 0.250
La 0.375 0.399 0.750
La 0.875 0.851 0.750
Ge 0.250 0.750 0.500
Ge 0.500 0.500 0.000
Bi 0.750 0.250 0.500
Bi 0.000 0.000 0.000


Compound: HfNi2Hg
Source: Alexandria
Functional: PBE
Structure: optimized geometry

**Energy of formation from the pure elements**: -0.2324 eV per atom
**Symmetry**: P4/mmm, No. 123

Lattice parameters (Å, degrees): 3.233 3.233 6.120 90.00 90.00 90.00
Atoms (fractional coordinates):
Ni 0.000 0.000 0.228
Ni 0.000 0.000 0.772
Hf 0.500 0.500 0.000
Hg 0.500 0.500 0.500


Compound: PmDyEr2
Source: Alexandria
Functional: PBE
Structure: optimized geometry

**Energy of formation from the pure elements**: 0.0222 eV per atom
**E above lowest polymorph**: 0.024 eV/f.u.
**Symmetry**: P4/mmm, No. 123

Lattice parameters (Å, degrees): 5.005 5.027 5.027 90.00 90.00 90.00
Atoms (fractional coordinates):
Pm 0.500 0.000 0.000
Er 0.000 0.500 0.000
Er 0.000 0.000 0.500
Dy 0.500 0.500 0.500


Computed magnetic moment, in the same sequence as the records: 0.0, 0.0, 0.0, 14.0, 7.5, 0.0, 2.0, 0.0, 2.5, 0.0, 0.0, 0.0 μB per formula unit.